(1)
DFT (PBE) results for a relaxed structure of Te2AsOs.

Cell and atoms, written as POSCAR:
```
Te2AsOs
1.0
4.151 -1.901 0.000
4.151 1.901 0.000
-2.569 0.000 6.679
Te As Os
2 1 1
direct
0.000 0.000 0.000
0.182 0.182 0.596
0.864 0.864 0.297
0.564 0.564 0.298
```

## Properties
ΔE_f (raw): 0.185 eV/atom
Symmetry: Cm (8)

=====

(2)
DFT (PBE) results for a relaxed structure of TeAsOs2.

Cell and atoms, written as POSCAR:
```
TeAsOs2
1.0
3.124 0.000 0.000
0.000 3.124 0.000
0.000 0.000 6.831
Te As Os
1 1 2
direct
0.000 0.000 0.000
0.000 0.000 0.500
0.500 0.500 0.289
0.500 0.500 0.711
```

## Properties
ΔE_f (raw): 0.688 eV/atom
E above lowest polymorph: 331.5 meV per atom
Symmetry: P4/mmm (123)

=====

(3)
DFT (PBE) results for a relaxed structure of TeAs2Os.

Cell and atoms, written as POSCAR:
```
TeAs2Os
1.0
1.573 0.908 9.517
-1.573 0.908 9.517
0.000 -1.817 9.517
Te As Os
1 2 1
direct
0.000 0.000 0.000
0.529 0.529 0.529
0.785 0.785 0.785
0.256 0.256 0.256
```

## Properties
ΔE_f (raw): 0.433 eV/atom
Symmetry: R3m (160)

=====

(4)
DFT (PBE) results for a relaxed structure of Te2AsOs.

Cell and atoms, written as POSCAR:
```
Te2AsOs
1.0
3.683 -1.613 0.000
3.683 1.613 0.000
-0.798 0.000 7.583
Te As Os
2 1 1
direct
0.224 0.224 0.207
0.776 0.776 0.793
0.000 0.000 0.500
0.500 0.500 0.000
```

## Properties
ΔE_f (raw): 0.399 eV/atom
Symmetry: C2/m (12)

=====

(5)
DFT (PBE) results for a relaxed structure of TeAsOs2.

Cell and atoms, written as POSCAR:
```
TeAsOs2
1.0
3.836 -1.448 0.000
3.836 1.448 0.000
-0.192 0.000 7.312
Te As Os
1 1 2
direct
0.000 0.000 0.000
0.168 0.168 0.615
0.451 0.451 0.426
0.731 0.731 0.250
```

## Properties
ΔE_f (raw): 0.508 eV/atom
E above lowest polymorph: 151.9 meV per atom
Symmetry: Cm (8)

=====

(6)
DFT (PBE) results for a relaxed structure of Te2AsOs.

Cell and atoms, written as POSCAR:
```
Te2AsOs
1.0
3.073 0.000 0.000
0.000 3.073 0.000
0.000 0.000 10.024
Te As Os
2 1 1
direct
0.000 0.000 0.000
0.500 0.500 0.336
0.000 0.000 0.661
0.500 0.500 0.810
```

## Properties
ΔE_f (raw): 0.282 eV/atom
Symmetry: P4mm (99)

=====

(7)
DFT (PBE) results for a relaxed structure of TeAsOs3.

Cell and atoms, written as POSCAR:
```
TeAsOs3
1.0
4.591 0.000 0.000
0.000 4.591 0.000
0.000 0.000 4.591
Te As Os
1 1 3
direct
0.000 0.000 0.000
0.500 0.500 0.500
0.000 0.500 0.500
0.500 0.000 0.500
0.500 0.500 0.000
```

## Properties
ΔE_f (raw): 1.631 eV/atom
E above lowest polymorph: 0.0 meV per atom
Symmetry: Pm-3m (221)

=====

(8)
DFT (PBE) results for a relaxed structure of TeAs2Os.

Cell and atoms, written as POSCAR:
```
TeAs2Os
1.0
-3.193 3.193 5.190
3.193 -3.193 5.190
3.193 3.193 -5.190
Te As Os
2 4 2
direct
0.000 0.000 0.000
0.750 0.250 0.500
0.195 0.625 0.070
0.375 0.445 0.570
0.555 0.125 0.930
0.875 0.805 0.430
0.250 0.750 0.500
0.500 0.500 0.000
```

## Properties
ΔE_f (raw): 0.401 eV/atom
Symmetry: I-42d (122)

=====

> Which value of ΔE_f (raw) does entry 1 give?

0.185 eV/atom

=====

> Which of these has the highest ΔE_f (raw)?

TeAsOs3

=====

> Which formula does entry 6 have?

Te2AsOs

=====

> Among the records above, which one has the highest ΔE_f (raw)?

TeAsOs3